# 1
Here is a geometry-optimized NbCrGaOs structure from Alexandria via LeMat-Bulk. Energies are from PBE.

Values from the calculation:
Energy of formation from the pure elements: -0.13 eV/atom
Space group: F-43m, No. 216

abc: 4.3871 4.3871 4.3871
angles: 60.00 60.00 60.00
Last column: magnetic moment on the atom in μB.
Fractional positions:
Os 0.2500 0.2500 0.2500  0.19
Nb 0.0000 0.0000 0.0000  -0.30
Ga 0.5000 0.5000 0.5000  -0.02
Cr 0.7500 0.7500 0.7500  1.98

=====

# 2
Here is a geometry-optimized NbCrGa2Os structure from Alexandria via LeMat-Bulk. Energies are from PBE.

Values from the calculation:
Energy of formation from the pure elements: 1.74 eV/atom
Space group: P4/mmm, No. 123

abc: 4.8560 4.3745 4.8560
angles: 90.00 90.00 90.00
Last column: magnetic moment on the atom in μB.
Fractional positions:
Nb 0.0000 0.0000 0.0000  -0.32
Os 0.5000 0.5000 0.5000  1.38
Cr 0.0000 0.5000 0.0000  1.99
Ga 0.5000 0.0000 0.0000  -0.01
Ga 0.0000 0.0000 0.5000  -0.03

=====

# 3
Here is a geometry-optimized NbCrGaRh structure from Alexandria via LeMat-Bulk. Energies are from PBE.

Values from the calculation:
Energy of formation from the pure elements: -0.23 eV/atom
Space group: F-43m, No. 216

abc: 4.3669 4.3669 4.3669
angles: 60.00 60.00 60.00
Last column: magnetic moment on the atom in μB.
Fractional positions:
Nb 0.2500 0.2500 0.2500  -0.27
Ga 0.7500 0.7500 0.7500  -0.01
Rh 0.0000 0.0000 0.0000  0.04
Cr 0.5000 0.5000 0.5000  1.16